[1]
This record from Alexandria describes crystalline GePAuS2 at its relaxed geometry. The functional is PBE-GGA.

Results
E above lowest polymorph   0.00 eV per formula unit
Formation energy without anion corrections   0.84 eV per atom
E   -17.3 eV per cell

Structure (POSCAR):
```
GePAuS2
1.0
-1.070 -3.237 -3.616
0.918 -3.771 3.104
-4.420 0.001 1.308
S Au Ge P
2 1 1 1
Direct
0.000 0.500 0.000 S
0.500 0.000 0.000 S
0.000 0.000 0.000 Au
0.500 0.500 0.500 Ge
0.000 0.000 0.500 P
```

=====

[2]
This record from Alexandria describes crystalline NbPdSI at its relaxed geometry. The functional is PBE-GGA.

Results
E above lowest polymorph   0.16 eV per formula unit
Formation energy without anion corrections   -0.30 eV per atom
E   -44.2 eV per cell

Structure (POSCAR):
```
NbPdSI
1.0
3.449 0.000 0.000
0.000 4.281 0.000
0.000 0.000 14.226
I Nb S Pd
2 2 2 2
Direct
0.000 0.500 0.416 I
0.500 0.000 0.916 I
0.500 0.500 0.575 Nb
0.000 0.000 0.075 Nb
0.000 0.500 0.699 S
0.500 0.000 0.199 S
0.000 0.000 0.621 Pd
0.500 0.500 0.121 Pd
```

=====

Computed spin magnetization, in the same sequence as the records: 0.000; 0.000 μB per formula unit.